No. 1
Density functional theory data (PBEsol) for a geometry-optimized BaI2F structure.

abc: 4.6511 4.6511 24.4053
angles: 90.00 90.00 90.00
Closest atoms and distances in Å follow each position.
Space group I-42d (No. 122)
Asymmetric unit:
Ba 0.0000 0.0000 0.0000 (multiplicity 4)  4 F 3.29, 4 I 3.47
I 0.2469 0.2500 0.6250 (multiplicity 8)  4 I 3.27-3.31, 2 F 3.46, 2 Ba 3.47
F 0.0000 0.0000 0.5000 (multiplicity 4)  4 Ba 3.29, 4 I 3.46

Properties
Uncorrected energy   -13.76 eV per formula unit
ΔE_f (raw)   -1.54 eV/atom

***

No. 2
Density functional theory data (PBEsol) for a geometry-optimized BaI2NF structure.

abc: 6.6450 6.6450 5.4366
angles: 90.00 90.00 90.00
Closest atoms and distances in Å follow each position.
Space group P4/mmm (No. 123)
Asymmetric unit:
Ba 0.0000 0.0000 0.0000 (multiplicity 1)  2 N 2.72
I 0.0000 0.5000 0.0000 (multiplicity 2)  2 Ba 3.32
N 0.0000 0.0000 0.5000 (multiplicity 1)  2 Ba 2.72
F 0.5000 0.5000 0.5000 (multiplicity 1)  8 I 4.29, 4 N 4.70

Properties
Uncorrected energy   -14.67 eV per formula unit
ΔE_f (raw)   0.29 eV/atom

***

No. 3
Density functional theory data (PBEsol) for a geometry-optimized BaIN2F structure.

abc: 5.3795 5.3795 6.6513
angles: 90.00 90.00 90.00
Closest atoms and distances in Å follow each position.
Space group P4/mmm (No. 123)
Asymmetric unit:
Ba 0.0000 0.0000 0.0000 (multiplicity 1)  4 N 2.69
I 0.0000 0.0000 0.5000 (multiplicity 1)  2 Ba 3.33
N 0.0000 0.5000 0.0000 (multiplicity 2)  2 Ba 2.69
F 0.5000 0.5000 0.5000 (multiplicity 1)  4 I 3.80

Properties
Uncorrected energy   -17.10 eV per formula unit
ΔE_f (raw)   1.16 eV/atom

***

No. 4
Density functional theory data (PBEsol) for a geometry-optimized BaRhI2F structure.

abc: 5.4160 5.4160 4.4443
angles: 90.00 90.00 90.00
Closest atoms and distances in Å follow each position.
Space group P4/mmm (No. 123)
Asymmetric unit:
Ba 0.0000 0.0000 0.0000 (multiplicity 1)  8 I 3.50, 4 F 3.83
Rh 0.5000 0.5000 0.5000 (multiplicity 1)  2 F 2.22
I 0.0000 0.5000 0.5000 (multiplicity 2)  2 Rh 2.71
F 0.5000 0.5000 0.0000 (multiplicity 1)  2 Rh 2.22

Properties
Uncorrected energy   -21.61 eV per formula unit
ΔE_f (raw)   -1.17 eV/atom

***

No. 5
Density functional theory data (PBEsol) for a geometry-optimized BaSbI2F structure.

abc: 5.9071 5.9071 4.3624
angles: 90.00 90.00 90.00
Closest atoms and distances in Å follow each position.
Space group P4/mmm (No. 123)
Asymmetric unit:
Ba 0.0000 0.0000 0.0000 (multiplicity 1)  8 I 3.67
Sb 0.5000 0.5000 0.0000 (multiplicity 1)  2 F 2.18
I 0.0000 0.5000 0.5000 (multiplicity 2)  2 F 2.95
F 0.5000 0.5000 0.5000 (multiplicity 1)  2 Sb 2.18

Properties
Uncorrected energy   -17.91 eV per formula unit
ΔE_f (raw)   -1.15 eV/atom

***

No. 6
Density functional theory data (PBEsol) for a geometry-optimized Ba3InF structure.

abc: 6.6298 6.6298 6.6298
angles: 90.00 90.00 90.00
Closest atoms and distances in Å follow each position.
Space group Pm-3m (No. 221)
Asymmetric unit:
Ba 0.0000 0.0000 0.5000 (multiplicity 3)  2 In 3.31
In 0.0000 0.0000 0.0000 (multiplicity 1)  6 Ba 3.31
F 0.5000 0.5000 0.5000 (multiplicity 1)  12 Ba 4.69

Properties
Uncorrected energy   -13.52 eV per formula unit
ΔE_f (raw)   -0.43 eV/atom

***

No. 7
Density functional theory data (PBEsol) for a geometry-optimized Ba3In2F12 structure.

abc: 9.5267 9.5267 5.6284
angles: 90.00 90.00 90.00
Closest atoms and distances in Å follow each position.
Space group P4/mbm (No. 127)
Asymmetric unit:
Ba 0.0000 0.0000 0.0000 (multiplicity 2)  8 F 2.65
Ba 0.1801 0.3199 0.5000 (multiplicity 4)  12 F 2.77-2.89
In 0.1330 0.6330 0.0000 (multiplicity 4)  7 F 2.12-2.19
F 0.0000 0.5000 0.2242 (multiplicity 4)  2 In 2.19
F 0.0560 0.7746 0.2598 (multiplicity 16)  1 In 2.12
F 0.2059 0.2941 0.0000 (multiplicity 4)  1 In 2.17

Properties
Uncorrected energy   -91.51 eV per formula unit
ΔE_f (raw)   -3.29 eV/atom

***

No. 8
Density functional theory data (PBEsol) for a geometry-optimized BaIrF6 structure.

abc: 5.4492 5.4492 15.5785
angles: 90.00 90.00 120.00
Closest atoms and distances in Å follow each position.
Space group R-3 (No. 148, hexagonal axes)
Asymmetric unit:
Ba 0.0000 0.0000 0.0000 (multiplicity 3)  6 F 2.63
Ir 0.0000 0.0000 0.5000 (multiplicity 3)  6 F 1.95
F 0.0207 0.6067 0.0923 (multiplicity 18)  1 Ir 1.95

Properties
Uncorrected energy   -42.58 eV per formula unit
ΔE_f (raw)   -2.38 eV/atom

***

No. 9
Density functional theory data (PBEsol) for a geometry-optimized BaSc2IrF structure.

abc: 4.4043 4.4043 5.0680
angles: 90.00 90.00 90.00
Closest atoms and distances in Å follow each position.
Space group P4/mmm (No. 123)
Asymmetric unit:
Ba 0.0000 0.0000 0.0000 (multiplicity 1)  2 F 2.53
Sc 0.0000 0.5000 0.5000 (multiplicity 2)  2 F 2.20
Ir 0.5000 0.5000 0.0000 (multiplicity 1)  4 Ba 3.11, 8 Sc 3.36
F 0.0000 0.0000 0.5000 (multiplicity 1)  4 Sc 2.20

Properties
Uncorrected energy   -30.83 eV per formula unit
ΔE_f (raw)   -0.74 eV/atom

***

No. 10
Density functional theory data (PBEsol) for a geometry-optimized KBa3F structure.

abc: 7.0551 7.0551 7.0551
angles: 90.00 90.00 90.00
Closest atoms and distances in Å follow each position.
Space group Pm-3m (No. 221)
Asymmetric unit:
K 0.0000 0.0000 0.0000 (multiplicity 1)  6 Ba 3.53
Ba 0.0000 0.0000 0.5000 (multiplicity 3)  2 K 3.53
F 0.5000 0.5000 0.5000 (multiplicity 1)  12 Ba 4.99

Properties
Uncorrected energy   -8.17 eV per formula unit
ΔE_f (raw)   0.27 eV/atom

***

No. 11
Density functional theory data (PBEsol) for a geometry-optimized KBa2F2 structure.

abc: 4.4332 4.4332 20.5116
angles: 90.00 90.00 90.00
Closest atoms and distances in Å follow each position.
Space group I4/mmm (No. 139)
Asymmetric unit:
K 0.0000 0.0000 0.0000 (multiplicity 2)  4 K 4.43, 8 Ba 4.83
Ba 0.0000 0.0000 0.3207 (multiplicity 4)  4 F 2.65
F 0.0000 0.5000 0.2500 (multiplicity 4)  4 Ba 2.65

Properties
Uncorrected energy   -20.38 eV per formula unit
ΔE_f (raw)   -2.22 eV/atom

***

No. 12
Density functional theory data (PBEsol) for a geometry-optimized KBa4Ti5O14F structure.

abc: 3.9610 3.9610 20.0567
angles: 90.00 90.00 90.00
Closest atoms and distances in Å follow each position.
Space group P4/mmm (No. 123)
Asymmetric unit:
K 0.0000 0.0000 0.0000 (multiplicity 1)  4 F 2.80, 8 O 2.84
Ba 0.0000 0.0000 0.1985 (multiplicity 2)  12 O 2.77-2.85
Ba 0.0000 0.0000 0.3999 (multiplicity 2)  12 O 2.80-2.82
Ti 0.5000 0.5000 0.1044 (multiplicity 2)  5 O 1.93-1.98, 1 F 2.09
Ti 0.5000 0.5000 0.3011 (multiplicity 2)  6 O 1.98-2.02
Ti 0.5000 0.5000 0.5000 (multiplicity 1)  6 O 1.98-2.00
O 0.0000 0.5000 0.1017 (multiplicity 4)  2 Ti 1.98
O 0.0000 0.5000 0.3006 (multiplicity 4)  2 Ti 1.98
O 0.0000 0.5000 0.5000 (multiplicity 2)  2 Ti 1.98
O 0.5000 0.5000 0.2005 (multiplicity 2)  2 Ti 1.93-2.02
O 0.5000 0.5000 0.4002 (multiplicity 2)  2 Ti 1.99-2.00
F 0.5000 0.5000 0.0000 (multiplicity 1)  2 Ti 2.09

Properties
Uncorrected energy   -203.73 eV per formula unit
ΔE_f (raw)   -3.08 eV/atom